No. 1
VASP calculation (GGA-PBE) on an optimized crystal structure of PuURh.

Structure (POSCAR):
```
PuURh
1.0
4.5848 -0.1972 0.5529
2.0133 4.8776 0.0392
0.6658 0.5509 5.2903
Pu Rh U
2 2 2
Cartesian
3.7300 0.5251 1.1478
3.2992 2.1739 3.8823
1.1153 0.4845 3.2695
1.3291 2.4119 1.2070
3.5226 3.9282 0.9067
5.5199 3.6484 4.1624
```

Fermi-level density of states in states/eV/cell: 15.63
Calculated density in g/cm3: 16.3
Relative energy among the computed polymorphs in meV per atom: 0.0
Space-group type: P-1
Formation energy from the elements in eV/f.u.: -0.959

No. 2
VASP calculation (GGA-PBE) on an optimized crystal structure of PuURh.

Structure (POSCAR):
```
PuURh
1.0
-0.8290 -2.2831 4.0398
3.5708 -0.9774 2.9174
-0.4070 2.5207 1.3365
Rh Pu U
1 1 1
Cartesian
2.1603 -0.3761 2.0107
2.9053 -0.4125 4.8884
0.1629 0.0066 4.5700
```

Fermi-level density of states in states/eV/cell: 7.05
Calculated density in g/cm3: 17.5
Relative energy among the computed polymorphs in meV per atom: 101.3
Space-group type: Cm
Formation energy from the elements in eV/f.u.: -0.655

No. 3
VASP calculation (GGA-PBE) on an optimized crystal structure of PuVRh.

Structure (POSCAR):
```
PuVRh
1.0
2.9712 0.0000 0.0000
0.0000 2.9712 0.0000
-1.4856 -1.4856 5.8927
V Pu Rh
1 1 1
Cartesian
0.0000 0.0000 3.0964
1.4856 1.4856 5.2430
1.4856 1.4856 1.6782
```

Fermi-level density of states in states/eV/cell: 6.88
Calculated density in g/cm3: 12.7
Relative energy among the computed polymorphs in meV per atom: 0.0
Space-group type: I4mm
Formation energy from the elements in eV/f.u.: -0.371

No. 4
VASP calculation (GGA-PBE) on an optimized crystal structure of PuVRh2.

Structure (POSCAR):
```
PuVRh2
1.0
2.9679 0.0000 0.0000
0.0000 2.9679 0.0000
0.0000 0.0000 7.5407
Rh V Pu
2 1 1
Cartesian
0.0000 0.0000 6.0166
0.0000 0.0000 1.5241
1.4839 1.4839 0.0000
1.4839 1.4839 3.7704
```

Fermi-level density of states in states/eV/cell: 8.37
Calculated density in g/cm3: 12.5
Relative energy among the computed polymorphs in meV per atom: 0.0
Space-group type: P4/mmm
Formation energy from the elements in eV/f.u.: -1.313

No. 5
VASP calculation (GGA-PBE) on an optimized crystal structure of PuVRh.

Structure (POSCAR):
```
PuVRh
1.0
-2.0395 1.8164 0.7315
-2.7659 -3.4359 0.8201
2.6091 1.6105 3.2752
V Pu Rh
1 1 1
Cartesian
-0.1778 0.1583 0.0638
-1.5527 -1.2386 1.8459
-0.4658 1.0712 2.9171
```

Fermi-level density of states in states/eV/cell: 5.61
Calculated density in g/cm3: 13.4
Relative energy among the computed polymorphs in meV per atom: 117.7
Space-group type: P3m1
Formation energy from the elements in eV/f.u.: -0.018

No. 6
VASP calculation (GGA-PBE) on an optimized crystal structure of Pu2VRh.

Structure (POSCAR):
```
Pu2VRh
1.0
-0.9874 -3.8385 3.2938
3.4615 -0.3871 0.5865
-0.1894 2.3248 2.6524
Pu V Rh
2 1 1
Cartesian
-0.0947 1.1624 1.3262
1.7308 -0.1936 0.2933
1.1424 -0.9504 3.2664
-0.4937 -1.9192 1.6469
```

Fermi-level density of states in states/eV/cell: 10.11
Calculated density in g/cm3: 16.6
Relative energy among the computed polymorphs in meV per atom: 0.0
Space-group type: P4/mmm
Formation energy from the elements in eV/f.u.: 1.131

No. 7
VASP calculation (GGA-PBE) on an optimized crystal structure of PuVRh2.

Structure (POSCAR):
```
PuVRh2
1.0
3.7976 0.0000 0.0000
0.0000 4.1916 0.0000
0.0000 0.0000 4.1916
V Pu Rh
1 1 2
Cartesian
1.8988 2.0958 2.0958
1.8988 0.0000 0.0000
0.0000 0.0000 2.0958
0.0000 2.0958 0.0000
```

Fermi-level density of states in states/eV/cell: 9.92
Calculated density in g/cm3: 12.5
Relative energy among the computed polymorphs in meV per atom: 120.3
Space-group type: P4/mmm
Formation energy from the elements in eV/f.u.: -0.832

No. 8
VASP calculation (GGA-PBE) on an optimized crystal structure of PuV2Rh.

Structure (POSCAR):
```
PuV2Rh
1.0
4.4432 0.0000 0.0000
2.2216 3.8479 0.0000
2.2216 1.2826 3.6277
Pu V Rh
1 2 1
Cartesian
4.4432 2.5653 1.8139
6.6648 3.8479 2.7217
2.2216 1.2826 0.9060
0.0000 0.0000 0.0000
```

Fermi-level density of states in states/eV/cell: 10.24
Calculated density in g/cm3: 12.0
Space-group type: Fm-3m
Formation energy from the elements in eV/f.u.: 0.261